Material: ZrSbIr2
Method: DFT, PBE
State: relaxed

Values from the calculation:
- crystal system = trigonal
- SG = R3m, No. 160
- formation energy without anion corrections (eV/atom) = 0.11

Cell lengths 9.164, 9.164, 9.164 Å; angles 19.25, 19.25, 19.25 degrees
Atoms (fractional coordinates):
Ir (0.999, 0.999, 0.999)
Ir (0.250, 0.250, 0.250)
Sb (0.507, 0.507, 0.507)
Zr (0.745, 0.745, 0.745)



Material: Zr4SbIr
Method: DFT, PBE
State: relaxed

Values from the calculation:
- crystal system = cubic
- SG = F-43m, No. 216
- formation energy without anion corrections (eV/atom) = 0.18

Cell lengths 5.622, 5.622, 5.622 Å; angles 60.00, 60.00, 60.00 degrees
Atoms (fractional coordinates):
Zr (0.875, 0.375, 0.375)
Zr (0.375, 0.375, 0.875)
Zr (0.375, 0.875, 0.375)
Zr (0.375, 0.375, 0.375)
Sb (0.000, 0.000, 0.000)
Ir (0.750, 0.750, 0.750)



Material: Zr2SbIr
Method: DFT, PBE
State: relaxed

Values from the calculation:
- crystal system = trigonal
- SG = R3m, No. 160
- formation energy without anion corrections (eV/atom) = -0.10

Cell lengths 9.368, 9.368, 9.368 Å; angles 20.27, 20.27, 20.27 degrees
Atoms (fractional coordinates):
Ir (0.504, 0.504, 0.504)
Sb (0.757, 0.757, 0.757)
Zr (0.000, 0.000, 0.000)
Zr (0.239, 0.239, 0.239)



Material: ZrSbIr2
Method: DFT, PBE
State: relaxed

Values from the calculation:
- crystal system = trigonal
- SG = R-3m, No. 166
- formation energy without anion corrections (eV/atom) = -0.10

Cell lengths 8.752, 8.752, 8.752 Å; angles 21.01, 21.01, 21.01 degrees
Atoms (fractional coordinates):
Ir (0.003, 0.003, 0.003)
Ir (0.497, 0.497, 0.497)
Sb (0.250, 0.250, 0.250)
Zr (0.750, 0.750, 0.750)



| no. | uncorrected energy (eV/cell) | calculated volume (Å³ per cell) |
| --- | --- | --- |
| 1 | -29.95 | 73.1 |
| 2 | -46.12 | 125.6 |
| 3 | -30.49 | 86.4 |
| 4 | -30.78 | 75.5 |